Below is crystalline BaCrSnBiO6 at its relaxed geometry, with properties calculated at the PBE+U level.

Lattice parameters (Å, degrees): 5.7395 5.7395 5.7395 60.00 60.00 60.00
Last column: magnetic moment on the atom in μB.
Sites, in units of the cell vectors:
1 O 0.7534 0.2466 0.2466  -0.01
2 O 0.2466 0.2466 0.7534  -0.01
3 O 0.7534 0.7534 0.2466  -0.01
4 O 0.7534 0.2466 0.7534  -0.01
5 O 0.2466 0.7534 0.7534  -0.01
6 O 0.2466 0.7534 0.2466  -0.01
7 Cr 0.0000 0.0000 0.0000  2.90
8 Sn 0.5000 0.5000 0.5000  -0.02
9 Bi 0.2500 0.2500 0.2500  0.04
10 Ba 0.7500 0.7500 0.7500  0.00

Output
Its raw total energy is -6.4361 eV per atom. The space-group type is No. 216. As for the mass density: 7.61 Mg/m³.